(1)
{
  "formula": "Hf2Hg2Mo",
  "functional": "PBE",
  "state": "relaxed",
  "cell": [[-2.9745, -0.4806, -2.5759], [2.1483, -2.6785, -1.9809], [-3.0076, -6.5640, 1.6475]],
  "species": ["Mo", "Hf", "Hf", "Hg", "Hg"],
  "frac_coords": [[0.0000, 0.0000, 0.0000], [0.7500, 0.2500, 0.5000], [0.2500, 0.7500, 0.5000], [0.4043, 0.4043, 0.1914], [0.5957, 0.5957, 0.8086]],
  "e_tot_ev_per_cell": -27.31,
  "spacegroup": "No. 139",
  "relative_energy_kj_per_mol_atoms": 43.6,
  "delta_e_f_ev_per_atom": 0.807,
  "vol_a3_per_cell": 108
}

=====

(2)
{
  "formula": "Mn2Rh2W",
  "functional": "PBE",
  "state": "relaxed",
  "cell": [[-4.7652, 3.7696, 3.6136], [3.1421, -1.8375, 6.0602], [1.5903, 2.1700, -0.1666]],
  "species": ["Mn", "Mn", "Mn", "Mn", "Rh", "Rh", "Rh", "Rh", "W", "W"],
  "frac_coords": [[0.3841, 0.8841, 0.0000], [0.8841, 0.6159, 0.0000], [0.6159, 0.1159, 0.0000], [0.1159, 0.3841, 0.0000], [0.1784, 0.6784, 0.5000], [0.6784, 0.8216, 0.5000], [0.8216, 0.3216, 0.5000], [0.3216, 0.1784, 0.5000], [0.0000, 0.0000, 0.0000], [0.5000, 0.5000, 0.0000]],
  "e_tot_ev_per_cell": -90.74,
  "spacegroup": "No. 127",
  "relative_energy_kj_per_mol_atoms": 0.0,
  "delta_e_f_ev_per_atom": 0.125,
  "vol_a3_per_cell": 135
}

=====

(3)
{
  "formula": "La3HgBr",
  "functional": "PBE",
  "state": "relaxed",
  "cell": [[5.6348, 0.0000, 0.0000], [0.0000, 5.6348, 0.0000], [0.0000, 0.0000, 5.6348]],
  "species": ["Hg", "Br", "La", "La", "La"],
  "frac_coords": [[0.5000, 0.5000, 0.5000], [0.0000, 0.0000, 0.0000], [0.0000, 0.5000, 0.0000], [0.0000, 0.0000, 0.5000], [0.5000, 0.0000, 0.0000]],
  "e_tot_ev_per_cell": -18.54,
  "spacegroup": "No. 221",
  "relative_energy_kj_per_mol_atoms": 30.5,
  "e_form_raw_ev_per_atom": -0.36,
  "vol_a3_per_cell": 179
}

=====

(4)
{
  "formula": "KRe2Rh",
  "functional": "PBE",
  "state": "relaxed",
  "cell": [[4.5509, 0.0000, 0.0000], [2.2755, 3.9412, 0.0000], [2.2755, 1.3137, 3.7158]],
  "species": ["K", "Re", "Re", "Rh"],
  "frac_coords": [[0.5000, 0.5000, 0.5000], [0.0000, 0.0000, 0.0000], [0.2500, 0.2500, 0.2500], [0.7500, 0.7500, 0.7500]],
  "e_tot_ev_per_cell": -28.13,
  "spacegroup": "No. 216",
  "relative_energy_kj_per_mol_atoms": 68.1,
  "delta_e_f_ev_per_atom": 1.303,
  "vol_a3_per_cell": 67
}

=====

(5)
{
  "formula": "La5HoEr2",
  "functional": "PBE",
  "state": "relaxed",
  "cell": [[-3.5869, -3.0525, 3.3330], [4.4017, -5.6457, -5.4279], [8.3376, -1.1307, 7.9373]],
  "species": ["La", "La", "La", "La", "La", "La", "La", "La", "La", "La", "Ho", "Ho", "Er", "Er", "Er", "Er"],
  "frac_coords": [[0.9519, 0.9038, 0.8857], [0.9519, 0.9038, 0.6143], [0.4108, 0.8216, 0.4135], [0.4108, 0.8216, 0.0865], [0.6112, 0.2224, 0.2500], [0.3888, 0.7776, 0.7500], [0.5892, 0.1784, 0.5865], [0.5892, 0.1784, 0.9135], [0.0481, 0.0962, 0.1143], [0.0481, 0.0962, 0.3857], [0.7700, 0.5400, 0.7500], [0.2300, 0.4600, 0.2500], [0.7836, 0.5672, 0.4176], [0.7836, 0.5672, 0.0824], [0.2164, 0.4328, 0.5824], [0.2164, 0.4328, 0.9176]],
  "e_tot_ev_per_cell": -74.55,
  "spacegroup": "No. 63",
  "delta_e_f_ev_per_atom": 0.133,
  "vol_a3_per_cell": 568
}

=====

(6)
{
  "formula": "BaSc3Ni",
  "functional": "PBE",
  "state": "relaxed",
  "cell": [[5.2070, 0.0000, 0.0000], [0.0000, 5.2070, 0.0000], [0.0000, 0.0000, 5.2070]],
  "species": ["Sc", "Sc", "Sc", "Ni", "Ba"],
  "frac_coords": [[0.0000, 0.5000, 0.0000], [0.0000, 0.0000, 0.5000], [0.5000, 0.0000, 0.0000], [0.5000, 0.5000, 0.5000], [0.0000, 0.0000, 0.0000]],
  "e_tot_ev_per_cell": -18.83,
  "spacegroup": "No. 221",
  "relative_energy_kj_per_mol_atoms": 152.7,
  "delta_e_f_ev_per_atom": 1.573,
  "vol_a3_per_cell": 141
}

=====

(7)
{
  "formula": "ZnCu2Si2",
  "functional": "PBE",
  "state": "relaxed",
  "cell": [[-3.5162, 0.0925, 1.3334], [1.2496, -1.1046, 3.3718], [-0.4718, 4.5057, 3.7493]],
  "species": ["Zn", "Si", "Si", "Cu", "Cu"],
  "frac_coords": [[0.0000, 0.0000, 0.0000], [0.3913, 0.3913, 0.2174], [0.6087, 0.6087, 0.7826], [0.7500, 0.2500, 0.5000], [0.2500, 0.7500, 0.5000]],
  "e_tot_ev_per_cell": -19.51,
  "spacegroup": "No. 139",
  "relative_energy_kj_per_mol_atoms": 0.0,
  "e_form_raw_ev_per_atom": 0.16,
  "vol_a3_per_cell": 74
}

=====

(8)
{
  "formula": "Cs2Pu3TlO12",
  "functional": "PBE",
  "state": "relaxed",
  "cell": [[-2.9221, -2.2059, 6.8672], [3.2896, -6.0305, 3.6572], [4.1745, 1.3931, 6.4184]],
  "species": ["Cs", "Cs", "Pu", "Pu", "Pu", "Tl", "O", "O", "O", "O", "O", "O", "O", "O", "O", "O", "O", "O"],
  "frac_coords": [[0.6205, 0.6205, 0.6205], [0.3795, 0.3795, 0.3795], [0.5000, 0.0000, 0.0000], [0.0000, 0.5000, 0.0000], [0.0000, 0.0000, 0.5000], [0.0000, 0.0000, 0.0000], [0.3080, 0.3080, 0.9277], [0.9259, 0.9259, 0.3452], [0.3452, 0.9259, 0.9259], [0.9277, 0.3080, 0.3080], [0.9259, 0.3452, 0.9259], [0.3080, 0.9277, 0.3080], [0.6920, 0.6920, 0.0723], [0.0741, 0.0741, 0.6548], [0.6548, 0.0741, 0.0741], [0.0723, 0.6920, 0.6920], [0.0741, 0.6548, 0.0741], [0.6920, 0.0723, 0.6920]],
  "e_tot_ev_per_cell": -145.39,
  "spacegroup": "No. 166",
  "e_form_raw_ev_per_atom": -2.16,
  "vol_a3_per_cell": 345
}

=====

(9)
{
  "formula": "LaBe4Te",
  "functional": "PBE",
  "state": "relaxed",
  "cell": [[0.0000, 3.7139, 3.7139], [3.7139, 0.0000, 3.7139], [3.7139, 3.7139, 0.0000]],
  "species": ["La", "Be", "Be", "Be", "Be", "Te"],
  "frac_coords": [[0.2500, 0.2500, 0.2500], [0.6089, 0.6089, 0.1732], [0.6089, 0.1732, 0.6089], [0.6089, 0.6089, 0.6089], [0.1732, 0.6089, 0.6089], [0.0000, 0.0000, 0.0000]],
  "e_tot_ev_per_cell": -20.35,
  "spacegroup": "No. 216",
  "e_form_raw_ev_per_atom": 0.44,
  "vol_a3_per_cell": 102
}

=====

(10)
{
  "formula": "K2IrPt",
  "functional": "PBE",
  "state": "relaxed",
  "cell": [[6.0103, -0.0059, 0.0000], [-3.2030, 5.0858, 0.0000], [0.0000, 0.0000, 2.7663]],
  "species": ["Ir", "K", "K", "Pt"],
  "frac_coords": [[0.0000, 0.5000, 0.5000], [0.0000, 0.0000, 0.0000], [0.5000, 0.5000, 0.0000], [0.5000, 0.0000, 0.5000]],
  "e_tot_ev_per_cell": -14.75,
  "spacegroup": "No. 65",
  "relative_energy_kj_per_mol_atoms": 33.5,
  "delta_e_f_ev_per_atom": 0.587,
  "vol_a3_per_cell": 85
}

=====

(11)
{
  "formula": "Pa6Zn2Ga",
  "functional": "PBE",
  "state": "relaxed",
  "cell": [[-1.5833, 1.6654, -2.0636], [-7.4168, -2.7324, 3.4854], [3.7549, 7.2053, 2.9339]],
  "species": ["Pa", "Pa", "Pa", "Pa", "Pa", "Pa", "Zn", "Zn", "Ga"],
  "frac_coords": [[0.0000, 0.3717, 0.0000], [0.0000, 0.0000, 0.3717], [0.0000, 0.6283, 0.6283], [0.5000, 0.2958, 0.2958], [0.5000, 0.0000, 0.7042], [0.5000, 0.7042, 0.0000], [0.5000, 0.3333, 0.6667], [0.5000, 0.6667, 0.3333], [0.0000, 0.0000, 0.0000]],
  "e_tot_ev_per_cell": -62.67,
  "spacegroup": "No. 189",
  "delta_e_f_ev_per_atom": -0.013,
  "vol_a3_per_cell": 200
}

=====

(12)
{
  "formula": "YAlBr4",
  "functional": "PBE",
  "state": "relaxed",
  "cell": [[-1.8091, 3.7288, 4.7231], [-6.0477, 1.5951, 0.6041], [-3.4114, -2.3471, 4.7263]],
  "species": ["Y", "Al", "Br", "Br", "Br", "Br"],
  "frac_coords": [[0.7500, 0.7500, 0.7500], [0.0000, 0.0000, 0.0000], [0.8730, 0.3757, 0.3757], [0.3757, 0.3757, 0.8730], [0.3757, 0.8730, 0.3757], [0.3757, 0.3757, 0.3757]],
  "e_tot_ev_per_cell": -15.97,
  "spacegroup": "No. 216",
  "e_form_raw_ev_per_atom": 0.16,
  "vol_a3_per_cell": 175
}

=====

Let's list DOS at the Fermi energy in order: 0.865 1.211 0.806 0.709 1.520 0.812 0.386 0.466 0.537 0.916 2.007 1.451 states/eV/atom.